1.
DFT (SCAN) results for TeAsAu at its PBEsol-relaxed geometry.

a b c (Å): 4.667 4.667 4.667
angles (deg): 60.00 60.00 60.00
Fractional positions:
Te (0.000, 0.000, 0.000)
Au (0.250, 0.250, 0.250)
As (0.500, 0.500, 0.500)

Calculated values
Total magnetic moment   0.0 μB per formula unit
D(E_F)   0.728 states/eV per atom
SG   F-43m
Energy relative to the elements, uncorrected   0.88 eV/f.u.

***

2.
DFT (SCAN) results for Te2AsAu at its PBEsol-relaxed geometry.

a b c (Å): 4.103 4.103 6.996
angles (deg): 72.95 72.95 60.00
Fractional positions:
Te (0.252, 0.252, 0.243)
Te (0.748, 0.748, 0.757)
Au (0.000, 0.000, 0.000)
As (0.500, 0.500, 0.500)

Calculated values
Total magnetic moment   0.0 μB per formula unit
D(E_F)   0.437 states/eV per atom
SG   R-3m
Energy relative to the elements, uncorrected   -0.24 eV/f.u.

***

3.
DFT (SCAN) results for Te2As2Au at its PBEsol-relaxed geometry.

a b c (Å): 3.802 7.897 7.897
angles (deg): 90.00 90.00 90.00
Fractional positions:
As (0.500, 0.627, 0.873)
As (0.500, 0.373, 0.127)
As (0.500, 0.873, 0.373)
As (0.500, 0.127, 0.627)
Au (0.000, 0.500, 0.500)
Au (0.000, 0.000, 0.000)
Te (0.000, 0.199, 0.301)
Te (0.000, 0.801, 0.699)
Te (0.000, 0.699, 0.199)
Te (0.000, 0.301, 0.801)

Calculated values
Total magnetic moment   0.0 μB per formula unit
D(E_F)   0.406 states/eV per atom
SG   P4/mbm
Energy relative to the elements, uncorrected   1.63 eV/f.u.

***

4.
DFT (SCAN) results for TeAsAu at its PBEsol-relaxed geometry.

a b c (Å): 3.984 3.984 4.800
angles (deg): 90.00 90.00 120.00
Fractional positions:
Te (0.667, 0.333, 0.356)
As (0.000, 0.000, 0.956)
Au (0.333, 0.667, 0.688)

Calculated values
Total magnetic moment   0.0 μB per formula unit
D(E_F)   0.383 states/eV per atom
SG   P3m1
Energy relative to the elements, uncorrected   -0.25 eV/f.u.

***

5.
DFT (SCAN) results for Ti2AsAu at its PBEsol-relaxed geometry.

a b c (Å): 5.603 5.690 5.690
angles (deg): 75.97 60.51 60.51
Fractional positions:
Ti (0.375, 0.487, 0.013)
Ti (0.875, 0.513, 0.987)
Ti (0.612, 0.013, 0.513)
Ti (0.138, 0.987, 0.487)
Au (0.000, 0.000, 0.000)
Au (0.750, 0.500, 0.500)
As (0.250, 0.500, 0.500)
As (0.500, 0.000, 0.000)

Calculated values
Total magnetic moment   0.0 μB per formula unit
D(E_F)   0.967 states/eV per atom
SG   I-42d
Formation enthalpy at 0 K   -454 meV/atom

***

6.
DFT (SCAN) results for TiAs2Au2 at its PBEsol-relaxed geometry.

a b c (Å): 3.598 3.598 7.740
angles (deg): 103.44 103.44 90.00
Fractional positions:
As (0.750, 0.250, 0.500)
As (0.250, 0.750, 0.500)
Ti (0.000, 0.000, 0.000)
Au (0.406, 0.406, 0.813)
Au (0.594, 0.594, 0.187)

Calculated values
Total magnetic moment   1.3 μB per formula unit
D(E_F)   0.809 states/eV per atom
SG   I4/mmm
Formation enthalpy at 0 K   96 meV/atom

***

7.
DFT (SCAN) results for TlAs2Au2 at its PBEsol-relaxed geometry.

a b c (Å): 4.497 4.497 6.211
angles (deg): 111.22 111.22 90.00
Fractional positions:
As (0.383, 0.383, 0.766)
As (0.617, 0.617, 0.234)
Tl (0.000, 0.000, 0.000)
Au (0.750, 0.250, 0.500)
Au (0.250, 0.750, 0.500)

Calculated values
Total magnetic moment   0.0 μB per formula unit
D(E_F)   0.262 states/eV per atom
SG   I4/mmm
Formation enthalpy at 0 K   32 meV/atom

***

8.
DFT (SCAN) results for TlAsAu at its PBEsol-relaxed geometry.

a b c (Å): 4.342 4.342 4.408
angles (deg): 90.00 90.00 120.00
Fractional positions:
Au (0.333, 0.667, 0.000)
As (0.000, 0.000, 0.000)
Tl (0.667, 0.333, 0.500)

Calculated values
Total magnetic moment   0.0 μB per formula unit
D(E_F)   0.494 states/eV per atom
SG   P-6m2
Formation enthalpy at 0 K   -28 meV/atom

***

9.
DFT (SCAN) results for TlAs2Au at its PBEsol-relaxed geometry.

a b c (Å): 2.846 5.772 5.800
angles (deg): 60.16 88.75 87.49
Fractional positions:
As (0.000, 0.000, 0.500)
As (0.000, 0.500, 0.500)
Tl (0.500, 0.500, 0.000)
Au (0.500, 0.000, 0.000)

Calculated values
Total magnetic moment   0.0 μB per formula unit
D(E_F)   0.487 states/eV per atom
SG   C2/m
Formation enthalpy at 0 K   401 meV/atom

***

10.
DFT (SCAN) results for TlAs2Au at its PBEsol-relaxed geometry.

a b c (Å): 3.551 3.551 6.992
angles (deg): 90.00 90.00 90.00
Fractional positions:
As (0.000, 0.000, 0.824)
As (0.000, 0.000, 0.176)
Tl (0.500, 0.500, 0.500)
Au (0.500, 0.500, 0.000)

Calculated values
Total magnetic moment   0.0 μB per formula unit
D(E_F)   0.376 states/eV per atom
SG   P4/mmm
Formation enthalpy at 0 K   168 meV/atom

***

11.
DFT (SCAN) results for TlAsAu at its PBEsol-relaxed geometry.

a b c (Å): 4.019 4.257 4.641
angles (deg): 91.05 90.89 63.03
Fractional positions:
Au (0.669, 0.657, 0.242)
Tl (0.336, 0.329, 0.655)
As (0.995, 0.014, 0.103)

Calculated values
Total magnetic moment   0.0 μB per formula unit
D(E_F)   0.454 states/eV per atom
SG   P1
Formation enthalpy at 0 K   -32 meV/atom

***

12.
DFT (SCAN) results for Tl2AsAu at its PBEsol-relaxed geometry.

a b c (Å): 4.677 5.293 4.677
angles (deg): 116.22 90.00 116.22
Fractional positions:
Tl (0.750, 0.500, 0.250)
Tl (0.250, 0.500, 0.750)
Au (0.000, 0.000, 0.000)
As (0.500, 0.000, 0.500)

Calculated values
Total magnetic moment   0.0 μB per formula unit
D(E_F)   0.383 states/eV per atom
SG   I4/mmm
Formation enthalpy at 0 K   249 meV/atom